1.
First-principles (PBE-GGA) data for a relaxed Ba3NaSn8 crystal, as listed in Alexandria.

Cell: 6.5429 6.5429 11.0322 Å, 72.75 72.75 60.00°
With the nearest neighbours (Å) after each atom.
Fractional coordinates of all 12 atoms:
Na1 0.8731 0.8731 0.3807  12 Sn 3.65-3.82, 4 Ba 3.84-3.95
Ba1 0.3749 0.3749 0.8753  12 Sn 3.77-3.83, 4 Ba 3.97-4.03
Ba2 0.9966 0.9966 0.0102  12 Sn 3.76-3.89, 1 Na 3.84, 3 Ba 4.03
Ba3 0.5026 0.5026 0.4923  12 Sn 3.66-3.82, 3 Na 3.95, 1 Ba 3.97
Sn1 0.6873 0.6873 0.9380  6 Sn 3.21-3.24
Sn2 0.9352 0.4376 0.1896  6 Sn 3.17-3.29
Sn3 0.4376 0.4376 0.1896  6 Sn 3.17-3.29
Sn4 0.1884 0.1884 0.4347  6 Sn 3.17-3.21
Sn5 0.4376 0.9352 0.1896  6 Sn 3.17-3.29
Sn6 0.9373 0.4421 0.6833  6 Sn 3.21-3.30
Sn7 0.4421 0.9373 0.6833  6 Sn 3.21-3.30
Sn8 0.9373 0.9373 0.6833  6 Sn 3.21-3.30

crystal system = trigonal
energy of formation = -5.455 eV per formula unit
uncorrected energy = -3.7138 eV/atom
symmetry = R3m (160)

---

2.
First-principles (PBE-GGA) data for a relaxed Co3Br crystal, as listed in Alexandria.

Cell: 3.7401 3.7401 3.7401 Å, 90.00 90.00 90.00°
With the nearest neighbours (Å) after each atom.
Fractional coordinates of all 4 atoms:
Co1 0.5000 0.0000 0.5000  4 Br 2.64, 8 Co 2.64
Co2 0.0000 0.5000 0.5000  4 Br 2.64, 8 Co 2.64
Co3 0.5000 0.5000 0.0000  4 Br 2.64, 8 Co 2.64
Br1 0.0000 0.0000 0.0000  12 Co 2.64

crystal system = cubic
relative energy among the computed polymorphs = 0.498 eV/atom
uncorrected energy = -4.9360 eV/atom
symmetry = Pm-3m (221)

---

3.
First-principles (PBE-GGA) data for a relaxed Ac5La2PrEr crystal, as listed in Alexandria.

Cell: 8.4694 8.4694 12.0392 Å, 110.59 110.59 90.00°
With the nearest neighbours (Å) after each atom.
Fractional coordinates of all 18 atoms:
Ac1 0.8679 0.9092 0.2770  1 La 3.40, 1 Er 3.60, 2 Pr 3.80
Ac2 0.9092 0.4092 0.2770  1 La 3.40, 1 Er 3.60, 2 Pr 3.80
Ac3 0.5000 0.5000 0.0000  4 La 3.37
Ac4 0.5908 0.6321 0.7230  1 La 3.40, 1 Er 3.60, 2 Pr 3.80
Ac5 0.0908 0.5908 0.7230  1 La 3.40, 1 Er 3.60, 2 Pr 3.80
Ac6 0.6321 0.1321 0.7230  1 La 3.40, 1 Er 3.60, 2 Pr 3.80
Ac7 0.1321 0.0908 0.7230  1 La 3.40, 1 Er 3.60, 2 Pr 3.80
Ac8 0.3679 0.8679 0.2770  1 La 3.40, 1 Er 3.60, 2 Pr 3.80
Ac9 0.4092 0.3679 0.2770  1 La 3.40, 1 Er 3.60, 2 Pr 3.80
Ac10 0.0000 0.0000 0.0000  4 La 3.37
Er1 0.2500 0.7500 0.5000  8 Ac 3.60-3.99
Er2 0.7500 0.2500 0.5000  8 Ac 3.60-3.99
La1 0.6217 0.1217 0.0000  1 La 2.92
La2 0.3783 0.8783 0.0000  1 La 2.92
La3 0.1217 0.3783 0.0000  1 La 2.92
La4 0.8783 0.6217 0.0000  1 La 2.92
Pr1 0.2500 0.2500 0.5000  8 Ac 3.80, 4 Er 4.23
Pr2 0.7500 0.7500 0.5000  8 Ac 3.80, 4 Er 4.23

crystal system = tetragonal
energy of formation = 2.345 eV per formula unit
uncorrected energy = -4.1549 eV/atom
symmetry = I4/mcm (140)

---

4.
First-principles (PBE-GGA) data for a relaxed CeSm crystal, as listed in Alexandria.

Cell: 3.5223 3.5223 11.7750 Å, 90.00 90.00 120.00°
With the nearest neighbours (Å) after each atom.
Fractional coordinates of all 4 atoms:
Ce1 0.6667 0.3333 0.7500  6 Ce 3.52, 6 Sm 3.58
Ce2 0.3333 0.6667 0.2500  6 Ce 3.52, 6 Sm 3.58
Sm1 0.0000 0.0000 0.0000  6 Sm 3.52, 6 Ce 3.58
Sm2 0.0000 0.0000 0.5000  6 Sm 3.52, 6 Ce 3.58

crystal system = hexagonal
relative energy among the computed polymorphs = 0.028 eV/atom
energy of formation = 0.243 eV per formula unit
uncorrected energy = -5.2049 eV/atom
symmetry = P6_3/mmc (194)

---

5.
First-principles (PBE-GGA) data for a relaxed BeCrCuRu crystal, as listed in Alexandria.

Cell: 4.0471 4.0471 4.0471 Å, 60.00 60.00 60.00°
With the nearest neighbours (Å) after each atom.
Fractional coordinates of all 4 atoms:
Ru1 0.2500 0.2500 0.2500  4 Cr 2.48, 4 Be 2.48
Cu1 0.7500 0.7500 0.7500  4 Be 2.48, 4 Cr 2.48
Cr1 0.5000 0.5000 0.5000  4 Ru 2.48, 4 Cu 2.48
Be1 0.0000 0.0000 0.0000  4 Cu 2.48, 4 Ru 2.48

crystal system = cubic
energy of formation = 0.196 eV per formula unit
uncorrected energy = -6.6314 eV/atom
symmetry = F-43m (216)

---

6.
First-principles (PBE-GGA) data for a relaxed Cd2OF2 crystal, as listed in Alexandria.

Cell: 6.2357 6.3822 8.1109 Å, 90.00 94.63 90.00°
With the nearest neighbours (Å) after each atom.
Fractional coordinates of all 20 atoms:
F1 0.5789 0.2261 0.0173  3 Cd 2.28-2.39
F2 0.4211 0.7739 0.9827  3 Cd 2.28-2.39
F3 0.6156 0.1320 0.6921  3 Cd 2.30-2.42
F4 0.9211 0.7261 0.9827  3 Cd 2.28-2.39
F5 0.0789 0.2739 0.0173  3 Cd 2.28-2.39
F6 0.8844 0.6320 0.3079  3 Cd 2.30-2.42
F7 0.3844 0.8680 0.3079  3 Cd 2.30-2.42
F8 0.1156 0.3680 0.6921  3 Cd 2.30-2.42
Cd1 0.3032 0.0925 0.8483  1 O 2.17, 5 F 2.28-2.42
Cd2 0.1886 0.1303 0.4201  3 O 2.13-2.25, 1 F 2.30
Cd3 0.8114 0.8697 0.5799  3 O 2.13-2.25, 1 F 2.30
Cd4 0.8032 0.4075 0.8483  1 O 2.17, 5 F 2.28-2.42
Cd5 0.6968 0.9075 0.1517  1 O 2.17, 5 F 2.28-2.42
Cd6 0.3114 0.6303 0.5799  3 O 2.13-2.25, 1 F 2.30
Cd7 0.6886 0.3697 0.4201  3 O 2.13-2.25, 1 F 2.30
Cd8 0.1968 0.5925 0.1517  1 O 2.17, 5 F 2.28-2.42
O1 0.8397 0.0820 0.3619  4 Cd 2.13-2.25
O2 0.1603 0.9180 0.6381  4 Cd 2.13-2.25
O3 0.6603 0.5820 0.6381  4 Cd 2.13-2.25
O4 0.3397 0.4180 0.3619  4 Cd 2.13-2.25

crystal system = monoclinic
relative energy among the computed polymorphs = 0.000 eV/atom
uncorrected energy = -3.7986 eV/atom
symmetry = P2_1/c (14)

---

7.
First-principles (PBE-GGA) data for a relaxed CdAg5Au5 crystal, as listed in Alexandria.

Cell: 5.7993 6.7746 7.9483 Å, 44.69 91.52 102.66°
With the nearest neighbours (Å) after each atom.
Fractional coordinates of all 11 atoms:
Ag1 0.8489 0.4948 0.8537  5 Au 2.84-3.07, 5 Ag 2.88-3.07, 1 Cd 3.01
Ag2 0.1511 0.5052 0.1463  5 Au 2.84-3.07, 5 Ag 2.88-3.07, 1 Cd 3.01
Ag3 0.7729 0.9454 0.3621  6 Au 2.87-3.12, 4 Ag 2.88-3.07, 1 Cd 2.94
Ag4 0.5000 0.0000 0.0000  4 Au 2.82-3.02, 4 Ag 2.88-3.07, 2 Cd 2.90
Ag5 0.2271 0.0546 0.6379  6 Au 2.87-3.12, 4 Ag 2.88-3.07, 1 Cd 2.94
Au1 0.3002 0.0359 0.2937  4 Au 2.80-2.90, 5 Ag 2.82-2.97, 1 Cd 2.99
Au2 0.3534 0.5369 0.7724  4 Au 2.83-3.04, 1 Cd 2.88, 6 Ag 2.92-3.12
Au3 0.0000 0.5000 0.5000  4 Au 2.80-3.04, 2 Cd 2.85, 4 Ag 2.94-3.00
Au4 0.6466 0.4631 0.2276  4 Au 2.83-3.04, 1 Cd 2.88, 6 Ag 2.92-3.12
Au5 0.6998 0.9641 0.7063  4 Au 2.80-2.90, 5 Ag 2.82-2.97, 1 Cd 2.99
Cd1 0.0000 0.0000 0.0000  6 Au 2.85-2.99, 6 Ag 2.90-3.01

crystal system = triclinic
relative energy among the computed polymorphs = 0.000 eV/atom
energy of formation = 0.014 eV per formula unit
uncorrected energy = -2.8677 eV/atom
symmetry = P-1 (2)

---

8.
First-principles (PBE-GGA) data for a relaxed Dy2Zn5Sn crystal, as listed in Alexandria.

Cell: 4.3348 8.3944 9.0167 Å, 90.00 90.00 104.96°
With the nearest neighbours (Å) after each atom.
Fractional coordinates of all 16 atoms:
Sn1 0.5511 0.1023 0.2500  3 Zn 2.62-2.68
Sn2 0.4489 0.8977 0.7500  3 Zn 2.62-2.68
Zn1 0.8123 0.6246 0.3914  6 Zn 2.51-2.81
Zn2 0.6554 0.3107 0.4801  4 Zn 2.51-2.67, 1 Sn 2.68
Zn3 0.6103 0.2207 0.7500  6 Zn 2.54-2.81, 1 Sn 2.62
Zn4 0.3446 0.6893 0.5199  4 Zn 2.51-2.67, 1 Sn 2.68
Zn5 0.1877 0.3754 0.8914  6 Zn 2.51-2.81
Zn6 0.3446 0.6893 0.9801  4 Zn 2.51-2.67, 1 Sn 2.68
Zn7 0.6554 0.3107 0.0199  4 Zn 2.51-2.67, 1 Sn 2.68
Zn8 0.3897 0.7793 0.2500  6 Zn 2.54-2.81, 1 Sn 2.62
Zn9 0.1877 0.3754 0.6086  6 Zn 2.51-2.81
Zn10 0.8123 0.6246 0.1086  6 Zn 2.51-2.81
Dy1 0.0000 0.0000 0.5000  6 Zn 3.20-3.33, 4 Sn 3.24
Dy2 0.7982 0.5965 0.7500  13 Zn 3.05-3.36, 2 Sn 3.27
Dy3 0.0000 0.0000 0.0000  6 Zn 3.20-3.33, 4 Sn 3.24
Dy4 0.2018 0.4035 0.2500  13 Zn 3.05-3.36, 2 Sn 3.27

crystal system = orthorhombic
energy of formation = -3.340 eV per formula unit
uncorrected energy = -2.8646 eV/atom
symmetry = Cmcm (63)

---

9.
First-principles (PBE-GGA) data for a relaxed IrRh2 crystal, as listed in Alexandria.

Cell: 6.0964 6.0964 6.0964 Å, 154.20 154.20 36.82°
With the nearest neighbours (Å) after each atom.
Fractional coordinates of all 3 atoms:
Rh1 0.3353 0.3353 0.0000  4 Ir 2.71, 8 Rh 2.72-2.76
Rh2 0.6647 0.6647 0.0000  4 Ir 2.71, 8 Rh 2.72-2.76
Ir1 0.0000 0.0000 0.0000  8 Rh 2.71, 4 Ir 2.72

crystal system = tetragonal
relative energy among the computed polymorphs = 0.002 eV/atom
energy of formation = -0.035 eV per formula unit
uncorrected energy = -7.8665 eV/atom
symmetry = I4/mmm (139)

---

10.
First-principles (PBE-GGA) data for a relaxed CaPmGaPt crystal, as listed in Alexandria.

Cell: 5.0885 5.0885 5.0885 Å, 60.00 60.00 60.00°
With the nearest neighbours (Å) after each atom.
Fractional coordinates of all 4 atoms:
Pt1 0.7500 0.7500 0.7500  4 Pm 3.12, 4 Ca 3.12
Pm1 0.5000 0.5000 0.5000  4 Pt 3.12, 4 Ga 3.12
Ga1 0.2500 0.2500 0.2500  4 Ca 3.12, 4 Pm 3.12
Ca1 0.0000 0.0000 0.0000  4 Ga 3.12, 4 Pt 3.12

crystal system = cubic
relative energy among the computed polymorphs = 0.065 eV/atom
energy of formation = -2.928 eV per formula unit
uncorrected energy = -4.6870 eV/atom
symmetry = F-43m (216)

---

11.
First-principles (PBE-GGA) data for a relaxed SnSb2S2 crystal, as listed in Alexandria.

Cell: 8.8712 8.8712 3.5544 Å, 90.00 90.00 90.00°
With the nearest neighbours (Å) after each atom.
Fractional coordinates of all 10 atoms:
Sb1 0.2718 0.7718 0.0000  2 S 2.50
Sb2 0.7718 0.7282 0.0000  2 S 2.50
Sb3 0.2282 0.2718 0.0000  2 S 2.50
Sb4 0.7282 0.2282 0.0000  2 S 2.50
S1 0.8679 0.3679 0.5000  2 Sb 2.50
S2 0.1321 0.6321 0.5000  2 Sb 2.50
S3 0.6321 0.8679 0.5000  2 Sb 2.50
S4 0.3679 0.1321 0.5000  2 Sb 2.50
Sn1 0.5000 0.5000 0.0000  4 Sb 3.15
Sn2 0.0000 0.0000 0.0000  4 Sb 3.15

crystal system = tetragonal
uncorrected energy = -4.1146 eV/atom
symmetry = P4/mbm (127)

---

12.
First-principles (PBE-GGA) data for a relaxed YCd2H crystal, as listed in Alexandria.

Cell: 5.0027 5.0027 5.0027 Å, 60.00 60.00 60.00°
With the nearest neighbours (Å) after each atom.
Fractional coordinates of all 4 atoms:
Y1 0.5000 0.5000 0.5000  8 Cd 3.06
H1 0.0000 0.0000 0.0000  8 Cd 3.06
Cd1 0.2500 0.2500 0.2500  4 Y 3.06, 4 H 3.06
Cd2 0.7500 0.7500 0.7500  4 Y 3.06, 4 H 3.06

crystal system = cubic
relative energy among the computed polymorphs = 0.247 eV/atom
uncorrected energy = -2.4590 eV/atom
symmetry = Fm-3m (225)